## Ac3GePd (PBE)

Data for a geometry-optimized Ac3GePd structure.

For the formation energy, the calculation gives -518 meV/atom. For the total magnetization, the calculation gives 0.0 μB/f.u. The calculation puts the density of states at the Fermi level at 36.48 states/eV/cell.

The structure belongs to space group C2/c (No. 15); the cell edges are 12.8495, 11.6844 and 8.8195 Å and the angles 90.00°, 90.00° and 90.00°. The distinct sites, in fractional coordinates, are Ac at (0.0912, 0.0981, 0.4154), Ac at (0.0918, 0.4022, 0.5846), Ac at (0.2500, 0.1711, 0.8131), Ge at (0.0000, 0.1559, 0.7500), Ge at (0.0000, 0.3448, 0.2500) and Pd at (0.2492, 0.0608, 0.1293).